1.
Density functional theory data (GGA-PBE) for Cd2FeRe after structural relaxation.

Properties
- formation energy (eV per atom) = 0.55
- total moment (μB per atom) = 0.720

Lattice parameters (Å, degrees): 2.9044 4.8664 9.7568 90.00 90.00 90.00
With the nearest neighbours (Å) after each atom.
Space group Imm2 (No. 44)
One atom of each set of equivalent atoms:
Cd: 0.0000 0.0000 0.0000 (multiplicity 2)  4 Re 2.87, 2 Fe 2.87, 4 Cd 2.90-3.08
Cd: 0.0000 0.5000 0.2217 (multiplicity 2)  4 Fe 2.85, 4 Cd 2.90-3.08, 2 Re 3.00
Fe: 0.0000 0.5000 0.7543 (multiplicity 2)  2 Re 2.42
Re: 0.0000 0.0000 0.4529 (multiplicity 2)  2 Fe 2.42

2.
Density functional theory data (GGA-PBE) for Cd2FeRe after structural relaxation.

Properties
- formation energy (eV per atom) = 0.54
- total moment (μB per atom) = 0.685

Lattice parameters (Å, degrees): 3.1835 4.4709 9.4083 90.00 90.00 90.00
With the nearest neighbours (Å) after each atom.
Space group Cmmm (No. 65)
One atom of each set of equivalent atoms:
Cd: 0.0000 0.0000 0.2405 (multiplicity 4)  4 Cd 2.74, 2 Fe 2.77, 2 Re 2.91
Fe: 0.0000 0.5000 0.0000 (multiplicity 2)  4 Fe 2.74, 4 Cd 2.77
Re: 0.0000 0.5000 0.5000 (multiplicity 2)  4 Re 2.74, 4 Cd 2.91

3.
Density functional theory data (GGA-PBE) for CdFeRe2 after structural relaxation.

Properties
- formation energy (eV per atom) = 0.35
- total moment (μB per atom) = 0.001

Lattice parameters (Å, degrees): 2.7585 2.7585 7.9092 90.00 90.00 90.00
With the nearest neighbours (Å) after each atom.
Space group P4mm (No. 99)
One atom of each set of equivalent atoms:
Cd: 0.0000 0.0000 0.0000 (multiplicity 1)  4 Cd 2.76, 4 Fe 2.82, 4 Re 3.01
Fe: 0.5000 0.5000 0.2584 (multiplicity 1)  4 Re 2.50, 4 Fe 2.76
Re: 0.0000 0.0000 0.4567 (multiplicity 1)  4 Fe 2.50, 8 Re 2.76-2.80
Re: 0.5000 0.5000 0.7099 (multiplicity 1)  8 Re 2.76-2.80, 4 Cd 3.01

Question: The lowest formation energy belongs to which entry?
Answer: CdFeRe2